# LiAsOs2 | Alexandria | GGA-PBE | optimized geometry
data_LiAsOs2
_space_group_name_H-M_alt 'P 4/m m m'
_space_group_IT_number 123
_space_group_name_Hall '-P 4 2'
_cell_length_a 4.153
_cell_length_b 4.153
_cell_length_c 3.067
_cell_angle_alpha 90.00
_cell_angle_beta 90.00
_cell_angle_gamma 90.00
loop_
_atom_site_label
_atom_site_type_symbol
_atom_site_fract_x
_atom_site_fract_y
_atom_site_fract_z
Li1 Li 0.000 0.000 0.000
As1 As 0.500 0.500 0.000
Os1 Os 0.000 0.500 0.500
# Total magnetic moment   0.00 μB per atom
# Density   14.5 g/cm3
# Energy relative to the elements   0.35 eV/atom